! Sr3CaPd GGA-PBE optimized geometry; values from VASP
! - volume (Å³ per cell) = 1033
! - relative energy among the computed polymorphs (eV/f.u.) = 1.157
! - formation energy from the elements (kJ per mole of atoms) = -7.2
! - space group = Fd-3m, No. 227
&SYSTEM
  ibrav = 0, nat = 20, ntyp = 3
/
ATOMIC_SPECIES
Sr 87.62 Sr.upf
Ca 40.08 Ca.upf
Pd 106.42 Pd.upf
CELL_PARAMETERS angstrom
0.000 8.022 8.022
8.022 0.000 8.022
8.022 8.022 0.000
ATOMIC_POSITIONS angstrom
Sr 4.976 8.022 8.022
Sr 8.987 12.033 12.033
Sr 12.033 12.033 8.987
Sr 15.079 12.033 12.033
Sr 12.033 15.079 12.033
Sr 8.022 11.068 8.022
Sr 12.033 8.987 12.033
Sr 12.033 12.033 15.079
Sr 8.022 4.976 8.022
Sr 11.068 8.022 8.022
Sr 8.022 8.022 4.976
Sr 8.022 8.022 11.068
Ca 2.006 2.006 2.006
Ca 6.017 2.006 6.017
Ca 2.006 6.017 6.017
Ca 6.017 6.017 2.006
Pd 10.028 10.028 10.028
Pd 6.017 10.028 6.017
Pd 10.028 6.017 6.017
Pd 6.017 6.017 10.028

***

! Sr3CaPd GGA-PBE optimized geometry; values from VASP
! - volume (Å³ per cell) = 401
! - relative energy among the computed polymorphs (eV/f.u.) = 0.000
! - formation energy from the elements (kJ per mole of atoms) = -29.5
! - space group = Cm, No. 8
&SYSTEM
  ibrav = 0, nat = 10, ntyp = 3
/
ATOMIC_SPECIES
Sr 87.62 Sr.upf
Ca 40.08 Ca.upf
Pd 106.42 Pd.upf
CELL_PARAMETERS angstrom
-3.906 1.621 0.477
-3.669 -4.498 4.218
2.139 7.316 11.641
ATOMIC_POSITIONS angstrom
Sr -4.981 -2.579 5.942
Sr -3.880 3.811 12.233
Sr 0.357 4.043 8.175
Sr -2.353 7.681 11.593
Sr -2.496 3.664 5.086
Sr -2.870 1.673 8.785
Ca -1.733 -0.132 5.240
Ca -2.821 -1.914 2.383
Pd -3.874 0.866 3.309
Pd -1.319 4.809 10.830

***

! Sr3CaPd GGA-PBE optimized geometry; values from VASP
! - volume (Å³ per cell) = 272
! - relative energy among the computed polymorphs (eV/f.u.) = 6.454
! - formation energy from the elements (kJ per mole of atoms) = 95.1
! - space group = Pm-3m, No. 221
&SYSTEM
  ibrav = 0, nat = 5, ntyp = 3
/
ATOMIC_SPECIES
Sr 87.62 Sr.upf
Ca 40.08 Ca.upf
Pd 106.42 Pd.upf
CELL_PARAMETERS angstrom
-0.939 -1.251 -6.291
-6.195 -1.468 1.216
-1.659 6.189 -0.983
ATOMIC_POSITIONS angstrom
Sr -3.098 -0.734 0.608
Sr -0.830 3.094 -0.491
Sr -0.469 -0.625 -3.145
Ca 0.000 0.000 0.000
Pd -4.397 1.735 -3.029

***

! Sr3CaPd GGA-PBE optimized geometry; values from VASP
! - volume (Å³ per cell) = 416
! - relative energy among the computed polymorphs (eV/f.u.) = 0.146
! - formation energy from the elements (kJ per mole of atoms) = -26.7
! - space group = P-1, No. 2
&SYSTEM
  ibrav = 0, nat = 10, ntyp = 3
/
ATOMIC_SPECIES
Sr 87.62 Sr.upf
Ca 40.08 Ca.upf
Pd 106.42 Pd.upf
CELL_PARAMETERS angstrom
7.214 -0.025 0.003
0.543 7.768 -0.008
2.402 -2.051 7.417
ATOMIC_POSITIONS angstrom
Sr 4.334 5.551 1.872
Sr 9.139 2.873 6.169
Sr 5.385 0.622 6.627
Sr 8.638 -0.847 5.185
Sr 7.830 4.042 2.515
Sr 5.427 4.670 5.635
Ca 7.348 0.245 1.490
Ca 4.273 1.580 2.905
Pd 5.755 2.759 0.642
Pd 5.866 -0.933 3.754

***

! SrCa3Pd GGA-PBE optimized geometry; values from VASP
! - volume (Å³ per cell) = 362
! - relative energy among the computed polymorphs (eV/f.u.) = 0.043
! - formation energy from the elements (kJ per mole of atoms) = -29.7
! - space group = P1, No. 1
&SYSTEM
  ibrav = 0, nat = 10, ntyp = 3
/
ATOMIC_SPECIES
Sr 87.62 Sr.upf
Ca 40.08 Ca.upf
Pd 106.42 Pd.upf
CELL_PARAMETERS angstrom
-4.855 -6.632 6.052
-0.781 -6.701 6.464
-2.450 7.691 5.518
ATOMIC_POSITIONS angstrom
Sr -3.712 -8.377 10.135
Sr -3.183 0.735 6.924
Ca -3.049 4.626 6.292
Ca -5.565 -0.431 9.860
Ca -5.675 -4.310 10.252
Ca -3.351 -5.734 7.421
Ca -6.090 -9.282 13.425
Ca -3.445 2.790 9.879
Pd -6.041 -3.647 13.981
Pd -3.491 -2.513 9.343

***

! SrCa3Pd GGA-PBE optimized geometry; values from VASP
! - volume (Å³ per cell) = 215
! - relative energy among the computed polymorphs (eV/f.u.) = 1.479
! - formation energy from the elements (kJ per mole of atoms) = -1.9
! - space group = P4mm, No. 99
&SYSTEM
  ibrav = 0, nat = 5, ntyp = 3
/
ATOMIC_SPECIES
Sr 87.62 Sr.upf
Ca 40.08 Ca.upf
Pd 106.42 Pd.upf
CELL_PARAMETERS angstrom
4.588 0.000 0.000
0.000 4.588 0.000
0.000 0.000 10.234
ATOMIC_POSITIONS angstrom
Sr 0.000 0.000 1.020
Ca 0.000 0.000 7.214
Ca 2.294 0.000 4.353
Ca 0.000 2.294 4.353
Pd 2.294 2.294 6.226

***

! SrCa4Pd GGA-PBE optimized geometry; values from VASP
! - volume (Å³ per cell) = 459
! - relative energy among the computed polymorphs (eV/f.u.) = 0.000
! - formation energy from the elements (kJ per mole of atoms) = -22.9
! - space group = C2/m, No. 12
&SYSTEM
  ibrav = 0, nat = 12, ntyp = 3
/
ATOMIC_SPECIES
Sr 87.62 Sr.upf
Ca 40.08 Ca.upf
Pd 106.42 Pd.upf
CELL_PARAMETERS angstrom
-6.055 1.870 -1.867
1.816 -1.691 -7.582
-0.776 -8.223 5.845
ATOMIC_POSITIONS angstrom
Sr -3.856 -4.765 -4.057
Sr -1.160 -3.278 0.454
Ca -0.032 -3.468 -3.431
Ca -2.737 -5.989 2.778
Ca 0.411 -0.383 -1.717
Ca -3.186 -1.209 -2.593
Ca -4.983 -4.576 -0.173
Ca -2.279 -2.054 -6.382
Ca 1.404 -1.308 -5.865
Ca -1.829 -6.835 -1.011
Pd -0.829 -0.332 -4.321
Pd -4.187 -7.712 0.718

***

! Sr3CaPd GGA-PBE optimized geometry; values from VASP
! - volume (Å³ per cell) = 247
! - relative energy among the computed polymorphs (eV/f.u.) = 2.069
! - formation energy from the elements (kJ per mole of atoms) = 10.4
! - space group = P4mm, No. 99
&SYSTEM
  ibrav = 0, nat = 5, ntyp = 3
/
ATOMIC_SPECIES
Sr 87.62 Sr.upf
Ca 40.08 Ca.upf
Pd 106.42 Pd.upf
CELL_PARAMETERS angstrom
4.856 0.000 0.000
0.000 4.856 0.000
0.000 0.000 10.491
ATOMIC_POSITIONS angstrom
Sr 0.000 0.000 6.400
Sr 2.428 0.000 2.935
Sr 0.000 2.428 2.935
Ca 0.000 0.000 10.487
Pd 2.428 2.428 0.991

***

! Sr3CaPd GGA-PBE optimized geometry; values from VASP
! - volume (Å³ per cell) = 417
! - relative energy among the computed polymorphs (eV/f.u.) = 0.152
! - formation energy from the elements (kJ per mole of atoms) = -26.6
! - space group = C2/m, No. 12
&SYSTEM
  ibrav = 0, nat = 10, ntyp = 3
/
ATOMIC_SPECIES
Sr 87.62 Sr.upf
Ca 40.08 Ca.upf
Pd 106.42 Pd.upf
CELL_PARAMETERS angstrom
23.044 0.000 -4.258
8.952 2.072 -6.015
-8.952 2.072 6.015
ATOMIC_POSITIONS angstrom
Sr 9.868 2.072 -3.335
Sr 13.176 2.072 -0.923
Sr 21.031 2.072 -3.407
Sr 2.013 2.072 -0.851
Sr 14.182 2.072 -4.641
Sr 8.862 2.072 0.383
Ca 5.908 2.072 -2.056
Ca 17.136 2.072 -2.201
Pd 24.039 2.072 -8.282
Pd -0.995 2.072 4.024

***

! Sr4CaPd2 GGA-PBE optimized geometry; values from VASP
! - volume (Å³ per cell) = 538
! - formation energy from the elements (kJ per mole of atoms) = -34.3
! - space group = P1, No. 1
&SYSTEM
  ibrav = 0, nat = 14, ntyp = 3
/
ATOMIC_SPECIES
Sr 87.62 Sr.upf
Ca 40.08 Ca.upf
Pd 106.42 Pd.upf
CELL_PARAMETERS angstrom
6.522 -0.005 -2.911
-1.772 7.280 -3.929
0.761 0.897 10.407
ATOMIC_POSITIONS angstrom
Sr 2.848 2.151 2.716
Sr 4.462 4.707 -2.382
Sr 5.442 1.202 -0.209
Sr 6.683 0.971 3.522
Sr 5.774 4.739 1.485
Sr 0.548 3.750 -2.393
Sr 3.263 5.831 4.622
Sr 4.173 2.064 6.658
Ca 1.557 0.232 -0.252
Ca 1.912 5.663 0.542
Pd 1.717 3.281 5.298
Pd 5.148 3.524 4.220
Pd 2.961 2.945 -0.412
Pd 2.076 6.589 -2.374

***

! Sr3CaPd GGA-PBE optimized geometry; values from VASP
! - volume (Å³ per cell) = 497
! - relative energy among the computed polymorphs (eV/f.u.) = 4.016
! - formation energy from the elements (kJ per mole of atoms) = 48.0
! - space group = P6_3/mmc, No. 194
&SYSTEM
  ibrav = 0, nat = 10, ntyp = 3
/
ATOMIC_SPECIES
Sr 87.62 Sr.upf
Ca 40.08 Ca.upf
Pd 106.42 Pd.upf
CELL_PARAMETERS angstrom
4.651 -2.685 0.000
0.000 5.370 0.000
0.000 0.000 19.910
ATOMIC_POSITIONS angstrom
Sr 0.000 0.000 4.978
Sr 0.000 0.000 14.933
Sr 1.550 2.685 18.662
Sr 1.550 2.685 11.204
Sr 3.100 0.000 8.707
Sr 3.100 0.000 1.249
Ca 1.550 2.685 14.933
Ca 3.100 0.000 4.978
Pd 0.000 0.000 0.000
Pd 0.000 0.000 9.955

***

! SrCa2Pd3 GGA-PBE optimized geometry; values from VASP
! - volume (Å³ per cell) = 140
! - formation energy from the elements (kJ per mole of atoms) = -60.2
! - space group = P4/mmm, No. 123
&SYSTEM
  ibrav = 0, nat = 6, ntyp = 3
/
ATOMIC_SPECIES
Sr 87.62 Sr.upf
Ca 40.08 Ca.upf
Pd 106.42 Pd.upf
CELL_PARAMETERS angstrom
3.638 0.000 0.000
0.000 3.638 0.000
0.000 0.000 10.581
ATOMIC_POSITIONS angstrom
Sr 1.819 1.819 5.291
Ca 1.819 1.819 8.876
Ca 1.819 1.819 1.705
Pd 0.000 0.000 0.000
Pd 0.000 0.000 7.285
Pd 0.000 0.000 3.296

***

! SrCa2Pd2 GGA-PBE optimized geometry; values from VASP
! - volume (Å³ per cell) = 260
! - relative energy among the computed polymorphs (eV/f.u.) = 0.664
! - formation energy from the elements (kJ per mole of atoms) = -40.5
! - space group = P4/mbm, No. 127
&SYSTEM
  ibrav = 0, nat = 10, ntyp = 3
/
ATOMIC_SPECIES
Sr 87.62 Sr.upf
Ca 40.08 Ca.upf
Pd 106.42 Pd.upf
CELL_PARAMETERS angstrom
8.616 0.000 0.000
0.000 8.616 0.000
0.000 0.000 3.498
ATOMIC_POSITIONS angstrom
Sr 0.000 0.000 0.000
Sr 4.308 4.308 0.000
Ca 3.171 7.479 0.000
Ca 7.479 5.445 0.000
Ca 5.445 1.137 0.000
Ca 1.137 3.171 0.000
Pd 1.428 5.737 1.749
Pd 5.737 7.188 1.749
Pd 7.188 2.880 1.749
Pd 2.880 1.428 1.749

***

! SrCa3Pd GGA-PBE optimized geometry; values from VASP
! - volume (Å³ per cell) = 387
! - relative energy among the computed polymorphs (eV/f.u.) = 0.030
! - formation energy from the elements (kJ per mole of atoms) = -29.9
! - space group = Pmn2_1, No. 31
&SYSTEM
  ibrav = 0, nat = 10, ntyp = 3
/
ATOMIC_SPECIES
Sr 87.62 Sr.upf
Ca 40.08 Ca.upf
Pd 106.42 Pd.upf
CELL_PARAMETERS angstrom
-3.411 4.259 4.000
3.411 -2.538 5.611
5.803 5.586 -1.000
ATOMIC_POSITIONS angstrom
Sr 3.769 4.867 2.883
Sr -1.931 5.015 3.587
Ca 0.900 2.049 3.436
Ca 6.928 5.017 5.465
Ca 1.215 5.177 6.146
Ca 0.938 7.832 3.033
Ca 4.094 7.948 5.650
Ca 4.004 2.202 5.969
Pd 5.817 2.911 3.852
Pd 1.135 2.304 6.229

***

! SrCa2Pd2 GGA-PBE optimized geometry; values from VASP
! - volume (Å³ per cell) = 294
! - relative energy among the computed polymorphs (eV/f.u.) = 0.117
! - formation energy from the elements (kJ per mole of atoms) = -51.1
! - space group = C2/c, No. 15
&SYSTEM
  ibrav = 0, nat = 10, ntyp = 3
/
ATOMIC_SPECIES
Sr 87.62 Sr.upf
Ca 40.08 Ca.upf
Pd 106.42 Pd.upf
CELL_PARAMETERS angstrom
-0.882 -6.065 1.545
1.503 1.255 -7.146
6.076 0.535 5.576
ATOMIC_POSITIONS angstrom
Sr 0.759 -5.096 2.726
Sr 5.938 0.820 -2.751
Ca 2.039 -0.312 -2.812
Ca 4.890 -1.336 0.308
Ca 1.808 -2.940 -0.332
Ca 4.659 -3.964 2.787
Pd 1.339 -0.492 -5.613
Pd 4.074 -2.308 -2.293
Pd 5.358 -3.783 5.589
Pd 2.623 -1.968 2.268

***

! SrCa3Pd3 GGA-PBE optimized geometry; values from VASP
! - volume (Å³ per cell) = 476
! - formation energy from the elements (kJ per mole of atoms) = -18.5
! - space group = Pm-3n, No. 223
&SYSTEM
  ibrav = 0, nat = 14, ntyp = 3
/
ATOMIC_SPECIES
Sr 87.62 Sr.upf
Ca 40.08 Ca.upf
Pd 106.42 Pd.upf
CELL_PARAMETERS angstrom
-1.822 5.188 -5.545
3.523 -4.475 -5.344
-6.727 -3.748 -1.296
ATOMIC_POSITIONS angstrom
Sr -2.513 -1.517 -6.093
Sr 0.000 0.000 0.000
Ca -3.819 -0.577 -2.034
Ca 0.080 -3.174 -2.996
Ca 1.731 -0.762 -6.780
Ca -4.730 2.017 -4.807
Ca -3.284 -5.049 -3.644
Ca -0.030 1.475 -4.109
Pd -2.483 -2.993 -1.984
Pd -0.722 -5.230 -4.656
Pd -5.957 -0.217 -3.745
Pd 0.395 1.654 -6.831
Pd -2.593 1.657 -3.097
Pd 1.306 -0.940 -4.058

***

! Sr3CaPd GGA-PBE optimized geometry; values from VASP
! - volume (Å³ per cell) = 434
! - relative energy among the computed polymorphs (eV/f.u.) = 0.047
! - formation energy from the elements (kJ per mole of atoms) = -28.6
! - space group = P1, No. 1
&SYSTEM
  ibrav = 0, nat = 10, ntyp = 3
/
ATOMIC_SPECIES
Sr 87.62 Sr.upf
Ca 40.08 Ca.upf
Pd 106.42 Pd.upf
CELL_PARAMETERS angstrom
7.333 0.003 0.006
1.164 7.208 -0.011
0.077 -2.214 8.207
ATOMIC_POSITIONS angstrom
Sr 4.851 4.773 1.030
Sr 1.183 3.071 7.135
Sr 2.409 1.418 0.014
Sr 6.125 -0.224 6.101
Sr 1.077 4.224 3.005
Sr 4.785 3.659 5.049
Ca 6.092 0.881 2.062
Ca 2.445 0.327 4.053
Pd 7.252 2.995 0.482
Pd 5.954 6.010 3.564

***

! SrCa3Pd GGA-PBE optimized geometry; values from VASP
! - volume (Å³ per cell) = 195
! - relative energy among the computed polymorphs (eV/f.u.) = 1.271
! - formation energy from the elements (kJ per mole of atoms) = -6.0
! - space group = R3m, No. 160
&SYSTEM
  ibrav = 0, nat = 5, ntyp = 3
/
ATOMIC_SPECIES
Sr 87.62 Sr.upf
Ca 40.08 Ca.upf
Pd 106.42 Pd.upf
CELL_PARAMETERS angstrom
-3.314 -4.418 -1.894
4.353 -3.485 -1.733
0.295 -3.258 4.837
ATOMIC_POSITIONS angstrom
Sr 0.355 -2.971 0.322
Ca -1.286 -6.042 1.731
Ca 2.624 -5.566 1.813
Ca 0.783 -6.157 -1.619
Pd 0.023 -0.193 0.021

***

! SrCa2Pd2 GGA-PBE optimized geometry; values from VASP
! - volume (Å³ per cell) = 147
! - relative energy among the computed polymorphs (eV/f.u.) = 0.184
! - formation energy from the elements (kJ per mole of atoms) = -49.8
! - space group = C2/m, No. 12
&SYSTEM
  ibrav = 0, nat = 5, ntyp = 3
/
ATOMIC_SPECIES
Sr 87.62 Sr.upf
Ca 40.08 Ca.upf
Pd 106.42 Pd.upf
CELL_PARAMETERS angstrom
-2.766 2.523 2.305
-3.843 -0.129 -4.468
-0.088 -5.886 2.143
ATOMIC_POSITIONS angstrom
Sr 0.000 0.000 0.000
Ca -2.513 -3.197 0.484
Ca -4.183 -0.296 -0.503
Pd -2.487 -0.721 1.998
Pd -4.209 -2.771 -2.017

***

! Sr3Ca7Pd4 GGA-PBE optimized geometry; values from VASP
! - volume (Å³ per cell) = 442
! - formation energy from the elements (kJ per mole of atoms) = -39.4
! - space group = C2/m, No. 12
&SYSTEM
  ibrav = 0, nat = 14, ntyp = 3
/
ATOMIC_SPECIES
Sr 87.62 Sr.upf
Ca 40.08 Ca.upf
Pd 106.42 Pd.upf
CELL_PARAMETERS angstrom
4.444 0.000 1.121
1.523 9.021 3.329
-0.392 -0.009 10.923
ATOMIC_POSITIONS angstrom
Sr 1.562 1.565 3.176
Sr 4.013 7.447 12.197
Sr 0.565 4.506 7.126
Ca 2.483 7.578 8.891
Ca 2.267 2.244 9.750
Ca 3.957 3.773 12.419
Ca 3.091 1.434 6.482
Ca 1.618 5.239 2.954
Ca 0.000 0.000 0.000
Ca 3.308 6.769 5.624
Pd 3.551 3.843 4.659
Pd 2.023 5.170 10.714
Pd 5.190 8.167 7.530
Pd 0.384 0.845 7.844

***

! SrCa3Pd GGA-PBE optimized geometry; values from VASP
! - volume (Å³ per cell) = 396
! - relative energy among the computed polymorphs (eV/f.u.) = 0.475
! - formation energy from the elements (kJ per mole of atoms) = -21.3
! - space group = R-3, No. 148
&SYSTEM
  ibrav = 0, nat = 10, ntyp = 3
/
ATOMIC_SPECIES
Sr 87.62 Sr.upf
Ca 40.08 Ca.upf
Pd 106.42 Pd.upf
CELL_PARAMETERS angstrom
-1.607 -9.352 1.966
5.306 -7.525 3.022
0.289 -5.643 7.873
ATOMIC_POSITIONS angstrom
Sr 0.737 -4.161 2.376
Sr 3.250 -18.358 10.484
Ca 0.335 -8.003 6.590
Ca 3.647 -8.341 4.972
Ca 3.342 -12.728 9.497
Ca 0.340 -14.179 7.888
Ca 3.652 -14.516 6.270
Ca 0.645 -9.791 3.363
Pd 1.223 -6.907 3.944
Pd 2.764 -15.612 8.916

***

! SrCa3Pd GGA-PBE optimized geometry; values from VASP
! - volume (Å³ per cell) = 361
! - relative energy among the computed polymorphs (eV/f.u.) = 0.039
! - formation energy from the elements (kJ per mole of atoms) = -29.7
! - space group = Pm, No. 6
&SYSTEM
  ibrav = 0, nat = 10, ntyp = 3
/
ATOMIC_SPECIES
Sr 87.62 Sr.upf
Ca 40.08 Ca.upf
Pd 106.42 Pd.upf
CELL_PARAMETERS angstrom
4.044 0.000 0.000
-0.001 9.512 0.088
0.000 1.882 9.411
ATOMIC_POSITIONS angstrom
Sr 2.858 4.380 0.960
Sr 2.858 6.869 6.621
Ca 0.837 3.689 8.022
Ca 0.836 9.918 6.143
Ca 2.859 3.365 4.713
Ca 0.837 1.036 2.402
Ca 0.837 6.974 3.250
Ca 2.858 10.045 9.480
Pd 0.836 8.057 8.719
Pd 2.859 9.042 4.089

***

! SrCa3Pd GGA-PBE optimized geometry; values from VASP
! - volume (Å³ per cell) = 198
! - relative energy among the computed polymorphs (eV/f.u.) = 1.261
! - formation energy from the elements (kJ per mole of atoms) = -6.1
! - space group = Amm2, No. 38
&SYSTEM
  ibrav = 0, nat = 5, ntyp = 3
/
ATOMIC_SPECIES
Sr 87.62 Sr.upf
Ca 40.08 Ca.upf
Pd 106.42 Pd.upf
CELL_PARAMETERS angstrom
-1.271 -3.661 -1.073
-0.917 2.413 -7.147
6.575 -2.979 2.374
ATOMIC_POSITIONS angstrom
Sr 1.950 0.350 -3.505
Ca 1.584 -2.575 -0.625
Ca 4.491 -2.866 -3.077
Ca 5.158 -1.959 0.573
Pd 5.589 -4.557 1.392